Entry 1:
Density functional theory data (GGA-PBE) for Ba3GaH after structural relaxation.

Unit cell a=9.6382 b=9.6382 c=9.4991 alpha=90.00 beta=90.00 gamma=152.71
With the nearest neighbours (Å) after each atom.
Sites, in units of the cell vectors:
Ba1 0.0027 0.9973 0.7500  2 H 2.67
Ba2 0.3421 0.6579 0.5216  1 H 2.70
Ba3 0.3421 0.6579 0.9784  1 H 2.70
Ba4 0.6579 0.3421 0.0216  1 H 2.70
Ba5 0.6579 0.3421 0.4784  1 H 2.70
Ba6 0.9973 0.0027 0.2500  2 H 2.67
Ga1 0.1887 0.8113 0.7500  7 Ba 3.48-3.60
Ga2 0.8113 0.1887 0.2500  7 Ba 3.48-3.60
H1 0.4277 0.5723 0.7500  4 Ba 2.67-2.70
H2 0.5723 0.4277 0.2500  4 Ba 2.67-2.70

Results
SG   No. 63
M_tot   0.00 μB/f.u.
Calculated volume   404.6 Å³/cell
Polymorph energy (0 for the lowest one)   60 meV per atom
DOS at the Fermi energy   0.9295 states/eV/atom

=====

Entry 2:
Density functional theory data (GGA-PBE) for Ba3GaH after structural relaxation.

Unit cell a=8.2050 b=11.2955 c=7.7736 alpha=90.00 beta=90.00 gamma=90.00
With the nearest neighbours (Å) after each atom.
Sites, in units of the cell vectors:
Ba1 0.0242 0.2500 0.1161  2 H 2.97
Ba2 0.1918 0.0587 0.6928  2 H 2.94-3.01
Ba3 0.1918 0.4413 0.6928  2 H 2.94-3.01
Ba4 0.3082 0.5587 0.1928  2 H 2.94-3.01
Ba5 0.3082 0.9413 0.1928  2 H 2.94-3.01
Ba6 0.4758 0.7500 0.6161  2 H 2.97
Ba7 0.5242 0.2500 0.3839  2 H 2.97
Ba8 0.6918 0.0587 0.8072  2 H 2.94-3.01
Ba9 0.6918 0.4413 0.8072  2 H 2.94-3.01
Ba10 0.8082 0.5587 0.3072  2 H 2.94-3.01
Ba11 0.8082 0.9413 0.3072  2 H 2.94-3.01
Ba12 0.9758 0.7500 0.8839  2 H 2.97
Ga1 0.0827 0.7500 0.4670  6 Ba 3.36-3.55
Ga2 0.4173 0.2500 0.9670  6 Ba 3.36-3.55
Ga3 0.5827 0.7500 0.0330  6 Ba 3.36-3.55
Ga4 0.9173 0.2500 0.5330  6 Ba 3.36-3.55
H1 0.0000 0.0000 0.0000  6 Ba 2.94-3.01
H2 0.0000 0.5000 0.0000  6 Ba 2.94-3.01
H3 0.5000 0.0000 0.5000  6 Ba 2.94-3.01
H4 0.5000 0.5000 0.5000  6 Ba 2.94-3.01

Results
SG   No. 62
M_tot   0.00 μB/f.u.
Calculated volume   720.5 Å³/cell
Polymorph energy (0 for the lowest one)   0 meV per atom
DOS at the Fermi energy   0.4429 states/eV/atom

=====

Entry 3:
Density functional theory data (GGA-PBE) for Ba3Ga5H12 after structural relaxation.

Unit cell a=11.8708 b=11.8708 c=11.8708 alpha=109.47 beta=109.47 gamma=109.47
With the nearest neighbours (Å) after each atom.
Sites, in units of the cell vectors:
Ba1 0.1250 0.2500 0.3750  8 H 2.74-2.77
Ba2 0.1250 0.3750 0.7500  8 H 2.74-2.77
Ba3 0.2500 0.3750 0.1250  8 H 2.74-2.77
Ba4 0.2500 0.8750 0.6250  8 H 2.74-2.77
Ba5 0.3750 0.1250 0.2500  8 H 2.74-2.77
Ba6 0.3750 0.7500 0.1250  8 H 2.74-2.77
Ba7 0.6250 0.2500 0.8750  8 H 2.74-2.77
Ba8 0.6250 0.8750 0.7500  8 H 2.74-2.77
Ba9 0.7500 0.1250 0.3750  8 H 2.74-2.77
Ba10 0.7500 0.6250 0.8750  8 H 2.74-2.77
Ba11 0.8750 0.6250 0.2500  8 H 2.74-2.77
Ba12 0.8750 0.7500 0.6250  8 H 2.74-2.77
Ga1 0.0000 0.0000 0.0000  6 H 2.71
Ga2 0.0000 0.0000 0.5000  6 H 2.71
Ga3 0.0000 0.5000 0.0000  6 H 2.71
Ga4 0.0000 0.5000 0.5000  6 H 2.71
Ga5 0.1250 0.7500 0.8750  4 H 1.64
Ga6 0.1250 0.8750 0.2500  4 H 1.64
Ga7 0.2500 0.1250 0.8750  4 H 1.64
Ga8 0.2500 0.6250 0.3750  4 H 1.64
Ga9 0.3750 0.2500 0.6250  4 H 1.64
Ga10 0.3750 0.6250 0.7500  4 H 1.64
Ga11 0.5000 0.0000 0.0000  6 H 2.71
Ga12 0.5000 0.0000 0.5000  6 H 2.71
Ga13 0.5000 0.5000 0.0000  6 H 2.71
Ga14 0.5000 0.5000 0.5000  6 H 2.71
Ga15 0.6250 0.3750 0.2500  4 H 1.64
Ga16 0.6250 0.7500 0.3750  4 H 1.64
Ga17 0.7500 0.3750 0.6250  4 H 1.64
Ga18 0.7500 0.8750 0.1250  4 H 1.64
Ga19 0.8750 0.1250 0.7500  4 H 1.64
Ga20 0.8750 0.2500 0.1250  4 H 1.64
H1 0.0115 0.2429 0.1289  1 Ga 1.64
H2 0.0115 0.2686 0.8826  1 Ga 1.64
H3 0.1139 0.7429 0.7314  1 Ga 1.64
H4 0.1139 0.8711 0.3826  1 Ga 1.64
H5 0.1174 0.6289 0.3861  1 Ga 1.64
H6 0.1174 0.9885 0.7314  1 Ga 1.64
H7 0.1289 0.0115 0.2429  1 Ga 1.64
H8 0.1289 0.6174 0.8861  1 Ga 1.64
H9 0.2314 0.2429 0.6139  1 Ga 1.64
H10 0.2314 0.4885 0.6174  1 Ga 1.64
H11 0.2429 0.1289 0.0115  1 Ga 1.64
H12 0.2429 0.6139 0.2314  1 Ga 1.64
H13 0.2571 0.2686 0.8861  1 Ga 1.64
H14 0.2571 0.4885 0.3711  1 Ga 1.64
H15 0.2686 0.8826 0.0115  1 Ga 1.64
H16 0.2686 0.8861 0.2571  1 Ga 1.64
H17 0.3711 0.2571 0.4885  1 Ga 1.64
H18 0.3711 0.6139 0.8826  1 Ga 1.64
H19 0.3826 0.1139 0.8711  1 Ga 1.64
H20 0.3826 0.7686 0.5115  1 Ga 1.64
H21 0.3861 0.1174 0.6289  1 Ga 1.64
H22 0.3861 0.7686 0.7571  1 Ga 1.64
H23 0.4885 0.3711 0.2571  1 Ga 1.64
H24 0.4885 0.6174 0.2314  1 Ga 1.64
H25 0.5115 0.3826 0.7686  1 Ga 1.64
H26 0.5115 0.6289 0.7429  1 Ga 1.64
H27 0.6139 0.2314 0.2429  1 Ga 1.64
H28 0.6139 0.8826 0.3711  1 Ga 1.64
H29 0.6174 0.2314 0.4885  1 Ga 1.64
H30 0.6174 0.8861 0.1289  1 Ga 1.64
H31 0.6289 0.3861 0.1174  1 Ga 1.64
H32 0.6289 0.7429 0.5115  1 Ga 1.64
H33 0.7314 0.1139 0.7429  1 Ga 1.64
H34 0.7314 0.1174 0.9885  1 Ga 1.64
H35 0.7429 0.5115 0.6289  1 Ga 1.64
H36 0.7429 0.7314 0.1139  1 Ga 1.64
H37 0.7571 0.3861 0.7686  1 Ga 1.64
H38 0.7571 0.8711 0.9885  1 Ga 1.64
H39 0.7686 0.5115 0.3826  1 Ga 1.64
H40 0.7686 0.7571 0.3861  1 Ga 1.64
H41 0.8711 0.3826 0.1139  1 Ga 1.64
H42 0.8711 0.9885 0.7571  1 Ga 1.64
H43 0.8826 0.0115 0.2686  1 Ga 1.64
H44 0.8826 0.3711 0.6139  1 Ga 1.64
H45 0.8861 0.1289 0.6174  1 Ga 1.64
H46 0.8861 0.2571 0.2686  1 Ga 1.64
H47 0.9885 0.7314 0.1174  1 Ga 1.64
H48 0.9885 0.7571 0.8711  1 Ga 1.64

Results
SG   No. 230
Energy   -62.38 eV per formula unit
M_tot   0.00 μB/f.u.
Calculated volume   1287.7 Å³/cell
DOS at the Fermi energy   0.3286 states/eV/atom

=====

Entry 4:
Density functional theory data (GGA-PBE) for Ba6GaH2 after structural relaxation.

Unit cell a=7.9646 b=7.9646 c=11.3313 alpha=126.11 beta=126.11 gamma=41.40
With the nearest neighbours (Å) after each atom.
Sites, in units of the cell vectors:
Ba1 0.0190 0.0190 0.3291  2 H 2.76-2.92
Ba2 0.2893 0.2893 0.3360  2 H 2.91
Ba3 0.3584 0.3584 0.9731  1 H 2.85
Ba4 0.6416 0.6416 0.0269  1 H 2.85
Ba5 0.7107 0.7107 0.6640  2 H 2.91
Ba6 0.9810 0.9810 0.6709  2 H 2.76-2.92
Ga1 0.0000 0.0000 0.0000  8 Ba 3.42-3.56
H1 0.1603 0.1603 0.6592  5 Ba 2.76-2.92
H2 0.8397 0.8397 0.3408  5 Ba 2.76-2.92

Results
SG   No. 12
Energy   -22.83 eV per formula unit
M_tot   0.00 μB/f.u.
Calculated volume   369.2 Å³/cell
DOS at the Fermi energy   0.9207 states/eV/atom

=====

Entry 5:
Density functional theory data (GGA-PBE) for Ba2GaH2 after structural relaxation.

Unit cell a=8.1051 b=8.1051 c=8.1051 alpha=149.61 beta=149.61 gamma=43.51
With the nearest neighbours (Å) after each atom.
Sites, in units of the cell vectors:
Ba1 0.1469 0.1469 0.0000  4 H 2.63
Ba2 0.8531 0.8531 0.0000  4 H 2.63
Ga1 0.5000 0.5000 0.0000  8 Ba 3.73
H1 0.2500 0.7500 0.5000  4 Ba 2.63
H2 0.7500 0.2500 0.5000  4 Ba 2.63

Results
SG   No. 139
M_tot   0.86 μB/f.u.
Calculated volume   135.9 Å³/cell
Polymorph energy (0 for the lowest one)   0 meV per atom
DOS at the Fermi energy   0.6166 states/eV/atom

=====

Entry 6:
Density functional theory data (GGA-PBE) for Ba4GaH after structural relaxation.

Unit cell a=5.7147 b=10.6637 c=8.0715 alpha=90.00 beta=90.00 gamma=90.00
With the nearest neighbours (Å) after each atom.
Sites, in units of the cell vectors:
Ba1 0.2500 0.0431 0.1896  1 H 2.77
Ba2 0.2500 0.2500 0.7466  1 H 2.82
Ba3 0.2500 0.4569 0.1896  1 H 2.77
Ba4 0.2500 0.7500 0.5996  2 H 2.86
Ba5 0.7500 0.2500 0.4004  2 H 2.86
Ba6 0.7500 0.5431 0.8104  1 H 2.77
Ba7 0.7500 0.7500 0.2534  1 H 2.82
Ba8 0.7500 0.9569 0.8104  1 H 2.77
Ga1 0.2500 0.7500 0.0016  5 Ba 3.24-3.51
Ga2 0.7500 0.2500 0.9984  5 Ba 3.24-3.51
H1 0.2500 0.2500 0.3973  5 Ba 2.77-2.86
H2 0.7500 0.7500 0.6027  5 Ba 2.77-2.86

Results
SG   No. 59
Energy   -15.44 eV per formula unit
M_tot   0.00 μB/f.u.
Calculated volume   491.9 Å³/cell
DOS at the Fermi energy   0.7013 states/eV/atom